This record from Alexandria via LeMat-Bulk describes crystalline La2PrErIn2 at its relaxed geometry. The functional is GGA-PBE.

Cell and atoms, written as POSCAR:
```
La2PrErIn2
1.0
-3.548 1.235 3.812
4.795 -1.300 4.886
2.986 9.675 -0.356
La In Er Pr
4 4 2 2
direct
0.500 0.538 0.955
0.000 0.311 0.174
0.500 0.038 0.045
0.000 0.811 0.826
0.000 0.286 0.843
0.500 0.234 0.366
0.000 0.786 0.157
0.500 0.734 0.634
0.500 0.200 0.679
0.500 0.700 0.321
0.000 0.477 0.538
0.000 0.977 0.462
```

## Properties
Raw total energy   -4.464 eV per atom
Spin magnetization   0.0 μB per formula unit
Symmetry   No. 26
Calculated formation energy   -0.3517 eV/atom
Calculated density   7.17 Mg/m³